[1]
Compound: Zr4CuSb
Source: Alexandria
Functional: GGA-PBE
Structure: optimized geometry

Output
Energy relative to the lowest polymorph listed for this composition, eV per atom: 0.000
Calculated volume, A^3/atom: 21.3
Uncorrected formation energy, meV/atom: -301
Calculated total energy, eV/atom: -7.37

abc: 6.6985 6.6985 5.7024
angles: 90.00 90.00 90.00
Positions (direct):
Zr: 0.1417 0.3334 0.0000
Zr: 0.1417 0.6666 0.5000
Zr: 0.3334 0.1417 0.5000
Zr: 0.3334 0.8583 0.0000
Zr: 0.6666 0.1417 0.0000
Zr: 0.6666 0.8583 0.5000
Zr: 0.8583 0.3334 0.5000
Zr: 0.8583 0.6666 0.0000
Cu: 0.0000 0.0000 0.2500
Cu: 0.0000 0.0000 0.7500
Sb: 0.5000 0.5000 0.2500
Sb: 0.5000 0.5000 0.7500

***

[2]
Compound: ZrCu3Sb
Source: Alexandria
Functional: GGA-PBE
Structure: optimized geometry

Output
Energy relative to the lowest polymorph listed for this composition, eV per atom: 0.000
Calculated volume, A^3/atom: 20.7
Uncorrected formation energy, meV/atom: 756
Calculated total energy, eV/atom: -4.24

abc: 4.6940 4.6940 4.6940
angles: 90.00 90.00 90.00
Positions (direct):
Zr: 0.0000 0.0000 0.0000
Cu: 0.0000 0.5000 0.5000
Cu: 0.5000 0.0000 0.5000
Cu: 0.5000 0.5000 0.0000
Sb: 0.5000 0.5000 0.5000

***

[3]
Compound: ZrCuSb3
Source: Alexandria
Functional: GGA-PBE
Structure: optimized geometry

Output
Energy relative to the lowest polymorph listed for this composition, eV per atom: 0.155
Calculated volume, A^3/atom: 33.5
Uncorrected formation energy, meV/atom: 608
Calculated total energy, eV/atom: -4.39

abc: 5.5101 5.5101 5.5101
angles: 90.00 90.00 90.00
Positions (direct):
Zr: 0.0000 0.0000 0.0000
Cu: 0.5000 0.5000 0.5000
Sb: 0.0000 0.0000 0.5000
Sb: 0.0000 0.5000 0.0000
Sb: 0.5000 0.0000 0.0000

***

[4]
Compound: ZrCuSb2
Source: Alexandria
Functional: GGA-PBE
Structure: optimized geometry

Output
Calculated volume, A^3/atom: 21.5
Uncorrected formation energy, meV/atom: -101
Calculated total energy, eV/atom: -5.32

abc: 8.9031 8.9031 8.9031
angles: 21.87 21.87 21.87
Positions (direct):
Zr: 0.0000 0.0000 0.0000
Cu: 0.5000 0.5000 0.5000
Sb: 0.2420 0.2420 0.2420
Sb: 0.7580 0.7580 0.7580

***

[5]
Compound: ZrCuSb2
Source: Alexandria
Functional: GGA-PBE
Structure: optimized geometry

Output
Calculated volume, A^3/atom: 22.1
Uncorrected formation energy, meV/atom: 189
Calculated total energy, eV/atom: -5.03

abc: 4.9965 4.9965 4.9965
angles: 60.00 60.00 60.00
Positions (direct):
Zr: 0.0000 0.0000 0.0000
Cu: 0.7500 0.7500 0.7500
Sb: 0.2500 0.2500 0.2500
Sb: 0.5000 0.5000 0.5000

***

[6]
Compound: Zr2CuSb2
Source: Alexandria
Functional: GGA-PBE
Structure: optimized geometry

Output
Energy relative to the lowest polymorph listed for this composition, eV per atom: 0.000
Calculated volume, A^3/atom: 22.5
Uncorrected formation energy, meV/atom: -320
Calculated total energy, eV/atom: -6.21

abc: 7.5202 7.5202 3.9805
angles: 90.00 90.00 90.00
Positions (direct):
Zr: 0.1520 0.3480 0.0000
Zr: 0.3480 0.8480 0.0000
Zr: 0.6520 0.1520 0.0000
Zr: 0.8480 0.6520 0.0000
Cu: 0.0000 0.0000 0.0000
Cu: 0.5000 0.5000 0.0000
Sb: 0.1524 0.6524 0.5000
Sb: 0.3476 0.1524 0.5000
Sb: 0.6524 0.8476 0.5000
Sb: 0.8476 0.3476 0.5000

***

[7]
Compound: Sc2Cu
Source: Alexandria
Functional: GGA-PBE
Structure: optimized geometry

Output
Calculated volume, A^3/atom: 20.1
Calculated total energy, eV/atom: -5.70

abc: 6.1645 6.1645 6.3346
angles: 104.91 104.91 31.34
Positions (direct):
Sc: 0.0222 0.0222 0.2642
Sc: 0.3018 0.3018 0.3376
Sc: 0.6982 0.6982 0.6624
Sc: 0.9778 0.9778 0.7358
Cu: 0.3559 0.3559 0.9425
Cu: 0.6441 0.6441 0.0575

***

[8]
Compound: Sc2Cu
Source: Alexandria
Functional: GGA-PBE
Structure: optimized geometry

Output
Calculated volume, A^3/atom: 20.6
Calculated total energy, eV/atom: -5.69

abc: 6.1215 6.1215 6.2400
angles: 90.00 90.00 148.05
Positions (direct):
Sc: 0.0273 0.9727 0.5000
Sc: 0.2963 0.7037 0.6839
Sc: 0.7037 0.2963 0.1839
Sc: 0.9727 0.0273 0.0000
Cu: 0.3804 0.6196 0.2746
Cu: 0.6196 0.3804 0.7746

***

[9]
Compound: Sc5Cu2
Source: Alexandria
Functional: GGA-PBE
Structure: optimized geometry

Output
Energy relative to the lowest polymorph listed for this composition, eV per atom: 0.023
Calculated volume, A^3/atom: 20.6
Calculated total energy, eV/atom: -5.80

abc: 8.4167 8.4167 8.4167
angles: 134.81 64.61 136.39
Positions (direct):
Sc: 0.0253 0.2500 0.7753
Sc: 0.0896 0.6366 0.7262
Sc: 0.2500 0.2500 0.0000
Sc: 0.4104 0.1366 0.5470
Sc: 0.4747 0.2500 0.2247
Sc: 0.5253 0.7500 0.7753
Sc: 0.5896 0.8634 0.4530
Sc: 0.7500 0.7500 0.0000
Sc: 0.9104 0.3634 0.2738
Sc: 0.9747 0.7500 0.2247
Cu: 0.1190 0.2448 0.3638
Cu: 0.3810 0.7448 0.1257
Cu: 0.6190 0.2552 0.8743
Cu: 0.8810 0.7552 0.6362

***

[10]
Compound: Sc5Cu3
Source: Alexandria
Functional: GGA-PBE
Structure: optimized geometry

Output
Energy relative to the lowest polymorph listed for this composition, eV per atom: 0.047
Calculated volume, A^3/atom: 19.4
Calculated total energy, eV/atom: -5.63

abc: 8.0210 8.0210 5.5720
angles: 90.00 90.00 120.00
Positions (direct):
Sc: 0.0000 0.2420 0.2500
Sc: 0.0000 0.7580 0.7500
Sc: 0.2420 0.0000 0.2500
Sc: 0.2420 0.2420 0.7500
Sc: 0.3333 0.6667 0.0000
Sc: 0.3333 0.6667 0.5000
Sc: 0.6667 0.3333 0.0000
Sc: 0.6667 0.3333 0.5000
Sc: 0.7580 0.0000 0.7500
Sc: 0.7580 0.7580 0.2500
Cu: 0.0000 0.4036 0.7500
Cu: 0.0000 0.5964 0.2500
Cu: 0.4036 0.0000 0.7500
Cu: 0.4036 0.4036 0.2500
Cu: 0.5964 0.0000 0.2500
Cu: 0.5964 0.5964 0.7500

***

[11]
Compound: ScCu4
Source: Alexandria
Functional: GGA-PBE
Structure: optimized geometry

Output
Calculated volume, A^3/atom: 21.0
Calculated total energy, eV/atom: -3.24

abc: 4.7157 4.7157 4.7157
angles: 90.00 90.00 90.00
Positions (direct):
Sc: 0.0000 0.0000 0.0000
Cu: 0.0000 0.0000 0.5000
Cu: 0.0000 0.5000 0.0000
Cu: 0.5000 0.0000 0.0000
Cu: 0.5000 0.5000 0.5000

***

[12]
Compound: Sc4Cu
Source: Alexandria
Functional: GGA-PBE
Structure: optimized geometry

Output
Energy relative to the lowest polymorph listed for this composition, eV per atom: 0.164
Calculated volume, A^3/atom: 24.9
Calculated total energy, eV/atom: -5.68

abc: 4.9959 4.9959 4.9959
angles: 90.00 90.00 90.00
Positions (direct):
Sc: 0.0000 0.0000 0.0000
Sc: 0.0000 0.5000 0.5000
Sc: 0.5000 0.0000 0.5000
Sc: 0.5000 0.5000 0.0000
Cu: 0.5000 0.5000 0.5000

***

[13]
Compound: Sc7Cu3
Source: Alexandria
Functional: GGA-PBE
Structure: optimized geometry

Output
Calculated volume, A^3/atom: 21.0
Calculated total energy, eV/atom: -5.76

abc: 9.1043 9.1043 5.8607
angles: 90.00 90.00 120.00
Positions (direct):
Sc: 0.0737 0.5368 0.0000
Sc: 0.1262 0.2524 0.7103
Sc: 0.1262 0.8738 0.7103
Sc: 0.2524 0.1262 0.2103
Sc: 0.3333 0.6667 0.5352
Sc: 0.4632 0.5368 0.0000
Sc: 0.4632 0.9263 0.0000
Sc: 0.5368 0.0737 0.5000
Sc: 0.5368 0.4632 0.5000
Sc: 0.6667 0.3333 0.0352
Sc: 0.7476 0.8738 0.7103
Sc: 0.8738 0.1262 0.2103
Sc: 0.8738 0.7476 0.2103
Sc: 0.9263 0.4632 0.5000
Cu: 0.1938 0.3877 0.2754
Cu: 0.1938 0.8062 0.2754
Cu: 0.3877 0.1938 0.7754
Cu: 0.6123 0.8062 0.2754
Cu: 0.8062 0.1938 0.7754
Cu: 0.8062 0.6123 0.7754

***

[14]
Compound: Sc2Cu
Source: Alexandria
Functional: GGA-PBE
Structure: optimized geometry

Output
Calculated volume, A^3/atom: 20.9
Calculated total energy, eV/atom: -5.03

abc: 5.6154 5.6154 5.6154
angles: 60.00 60.00 60.00
Positions (direct):
Sc: 0.0000 0.0000 0.0000
Sc: 0.0000 0.0000 0.5000
Sc: 0.0000 0.5000 0.0000
Sc: 0.5000 0.0000 0.0000
Cu: 0.3750 0.3750 0.3750
Cu: 0.6250 0.6250 0.6250

***

[15]
Compound: Sc4Cu
Source: Alexandria
Functional: GGA-PBE
Structure: optimized geometry

Output
Energy relative to the lowest polymorph listed for this composition, eV per atom: 0.402
Calculated volume, A^3/atom: 23.4
Calculated total energy, eV/atom: -5.44

abc: 8.7386 8.7386 8.7386
angles: 155.24 155.24 35.29
Positions (direct):
Sc: 0.0857 0.0857 0.0000
Sc: 0.2500 0.7500 0.5000
Sc: 0.7500 0.2500 0.5000
Sc: 0.9143 0.9143 0.0000
Cu: 0.5000 0.5000 0.0000

***

[16]
Compound: Sc6Cu5
Source: Alexandria
Functional: GGA-PBE
Structure: optimized geometry

Output
Calculated volume, A^3/atom: 18.5
Calculated total energy, eV/atom: -5.51

abc: 7.9206 7.9206 7.9206
angles: 146.57 131.55 60.14
Positions (direct):
Sc: 0.0846 0.8378 0.2469
Sc: 0.2480 0.5000 0.7480
Sc: 0.4091 0.1622 0.2469
Sc: 0.5909 0.8378 0.7531
Sc: 0.7520 0.5000 0.2520
Sc: 0.9154 0.1622 0.7531
Cu: 0.1773 0.6773 0.5000
Cu: 0.3290 0.3290 0.0000
Cu: 0.5000 0.0000 0.5000
Cu: 0.6710 0.6710 0.0000
Cu: 0.8227 0.3227 0.5000

***

[17]
Compound: Sc3Cu5
Source: Alexandria
Functional: GGA-PBE
Structure: optimized geometry

Output
Energy relative to the lowest polymorph listed for this composition, eV per atom: 0.000
Calculated volume, A^3/atom: 16.2
Calculated total energy, eV/atom: -5.14

abc: 10.1801 9.0004 5.6670
angles: 90.00 90.00 90.00
Positions (direct):
Sc: 0.0574 0.2500 0.0999
Sc: 0.1496 0.5142 0.6344
Sc: 0.1496 0.9858 0.6344
Sc: 0.3504 0.0142 0.1344
Sc: 0.3504 0.4858 0.1344
Sc: 0.4426 0.7500 0.5999
Sc: 0.5574 0.2500 0.4001
Sc: 0.6496 0.5142 0.8656
Sc: 0.6496 0.9858 0.8656
Sc: 0.8504 0.0142 0.3656
Sc: 0.8504 0.4858 0.3656
Sc: 0.9426 0.7500 0.9001
Cu: 0.0213 0.2500 0.5875
Cu: 0.0882 0.5520 0.1392
Cu: 0.0882 0.9480 0.1392
Cu: 0.2230 0.7500 0.3403
Cu: 0.2367 0.7500 0.9109
Cu: 0.2633 0.2500 0.4109
Cu: 0.2770 0.2500 0.8403
Cu: 0.4118 0.0520 0.6392
Cu: 0.4118 0.4480 0.6392
Cu: 0.4787 0.7500 0.0875
Cu: 0.5213 0.2500 0.9125
Cu: 0.5882 0.5520 0.3608
Cu: 0.5882 0.9480 0.3608
Cu: 0.7230 0.7500 0.1597
Cu: 0.7367 0.7500 0.5891
Cu: 0.7633 0.2500 0.0891
Cu: 0.7770 0.2500 0.6597
Cu: 0.9118 0.0520 0.8608
Cu: 0.9118 0.4480 0.8608
Cu: 0.9787 0.7500 0.4125

***

[18]
Compound: Sc2Cu
Source: Alexandria
Functional: GGA-PBE
Structure: optimized geometry

Output
Calculated volume, A^3/atom: 19.7
Calculated total energy, eV/atom: -5.77

abc: 8.7377 8.7377 8.7377
angles: 60.00 60.00 60.00
Positions (direct):
Sc: 0.0000 0.0000 0.0000
Sc: 0.0000 0.0000 0.5000
Sc: 0.0000 0.5000 0.0000
Sc: 0.1897 0.1897 0.5603
Sc: 0.1897 0.5603 0.1897
Sc: 0.1897 0.5603 0.5603
Sc: 0.4397 0.4397 0.8103
Sc: 0.4397 0.8103 0.4397
Sc: 0.4397 0.8103 0.8103
Sc: 0.5000 0.0000 0.0000
Sc: 0.5603 0.1897 0.1897
Sc: 0.5603 0.1897 0.5603
Sc: 0.5603 0.5603 0.1897
Sc: 0.8103 0.4397 0.4397
Sc: 0.8103 0.4397 0.8103
Sc: 0.8103 0.8103 0.4397
Cu: 0.1396 0.7868 0.7868
Cu: 0.2132 0.2132 0.2132
Cu: 0.2132 0.2132 0.8604
Cu: 0.2132 0.8604 0.2132
Cu: 0.7868 0.1396 0.7868
Cu: 0.7868 0.7868 0.1396
Cu: 0.7868 0.7868 0.7868
Cu: 0.8604 0.2132 0.2132

***

[19]
Compound: Sc2Cu
Source: Alexandria
Functional: GGA-PBE
Structure: optimized geometry

Output
Calculated volume, A^3/atom: 22.0
Calculated total energy, eV/atom: -5.53

abc: 6.4167 6.4167 6.4167
angles: 90.00 90.00 90.00
Positions (direct):
Sc: 0.1560 0.1560 0.1560
Sc: 0.1560 0.3440 0.6560
Sc: 0.3440 0.6560 0.1560
Sc: 0.3440 0.8440 0.6560
Sc: 0.6560 0.1560 0.3440
Sc: 0.6560 0.3440 0.8440
Sc: 0.8440 0.6560 0.3440
Sc: 0.8440 0.8440 0.8440
Cu: 0.0000 0.0000 0.5000
Cu: 0.0000 0.5000 0.0000
Cu: 0.5000 0.0000 0.0000
Cu: 0.5000 0.5000 0.5000

***

[20]
Compound: ScCu4
Source: Alexandria
Functional: GGA-PBE
Structure: optimized geometry

Output
Calculated volume, A^3/atom: 17.1
Calculated total energy, eV/atom: -4.33

abc: 8.3021 8.3021 4.9675
angles: 90.00 90.00 90.00
Positions (direct):
Sc: 0.2209 0.2791 0.0000
Sc: 0.2791 0.7791 0.0000
Sc: 0.7209 0.2209 0.0000
Sc: 0.7791 0.7209 0.0000
Cu: 0.0000 0.0000 0.2188
Cu: 0.0000 0.0000 0.7812
Cu: 0.1031 0.7964 0.5000
Cu: 0.1038 0.3962 0.5000
Cu: 0.2036 0.1031 0.5000
Cu: 0.2964 0.6031 0.5000
Cu: 0.3962 0.8962 0.5000
Cu: 0.3969 0.2964 0.5000
Cu: 0.5000 0.5000 0.2188
Cu: 0.5000 0.5000 0.7812
Cu: 0.6031 0.7036 0.5000
Cu: 0.6038 0.1038 0.5000
Cu: 0.7036 0.3969 0.5000
Cu: 0.7964 0.8969 0.5000
Cu: 0.8962 0.6038 0.5000
Cu: 0.8969 0.2036 0.5000